Record 1
VASP calculation (PBE) on an optimized crystal structure of BaBeSe3.

Results
Symmetry: No. 221
Total magnetization, μB/cell: 0.00
E_form (uncorrected), meV per atom: -758.0
Crystal system: cubic
N(E_F), states/eV/atom: 0.922
Relative energy among the computed polymorphs, meV per atom: 0

Cell lengths 4.8949, 4.8949, 4.8949 Å; angles 90.00, 90.00, 90.00 degrees
Closest atoms and distances in Å follow each position.
Atoms (fractional coordinates):
Be: 0.0000 0.0000 0.0000  6 Se 2.45
Ba: 0.5000 0.5000 0.5000  12 Se 3.46
Se: 0.0000 0.5000 0.0000  2 Be 2.45
Se: 0.0000 0.0000 0.5000  2 Be 2.45
Se: 0.5000 0.0000 0.0000  2 Be 2.45

***

Record 2
VASP calculation (PBE) on an optimized crystal structure of BaBe2Se.

Results
Symmetry: No. 123
Total magnetization, μB/cell: 0.00
E_form (uncorrected), meV per atom: 295.0
Crystal system: tetragonal
N(E_F), states/eV/atom: 0.725

Cell lengths 3.4517, 3.4517, 6.9268 Å; angles 90.00, 90.00, 90.00 degrees
Closest atoms and distances in Å follow each position.
Atoms (fractional coordinates):
Be: 0.0000 0.0000 0.0916  1 Be 2.20
Be: 0.0000 0.0000 0.4084  1 Be 2.20
Ba: 0.5000 0.5000 0.7500  8 Be 3.40, 4 Ba 3.45, 2 Se 3.46
Se: 0.5000 0.5000 0.2500  8 Be 2.68

***

Record 3
VASP calculation (PBE) on an optimized crystal structure of BaBe2Se.

Results
Symmetry: No. 71
Total magnetization, μB/cell: 0.00
E_form (uncorrected), meV per atom: 240.7
Crystal system: orthorhombic
N(E_F), states/eV/atom: 0.310

Cell lengths 5.7050, 5.7050, 5.7050 Å; angles 144.45, 118.86, 72.77 degrees
Closest atoms and distances in Å follow each position.
Atoms (fractional coordinates):
Be: 0.9367 0.9367 0.0000  2 Se 2.44
Be: 0.5633 0.5633 0.0000  2 Se 2.44
Ba: 0.2500 0.7500 0.5000  8 Be 3.36-3.37, 4 Se 3.38, 2 Ba 3.48
Se: 0.7500 0.2500 0.5000  4 Be 2.44

***

Record 4
VASP calculation (PBE) on an optimized crystal structure of BaBe2Se.

Results
Symmetry: No. 44
Total magnetization, μB/cell: 0.00
E_form (uncorrected), meV per atom: -49.9
Crystal system: orthorhombic
N(E_F), states/eV/atom: 0.538

Cell lengths 5.3967, 5.3967, 5.3967 Å; angles 138.57, 105.39, 89.13 degrees
Closest atoms and distances in Å follow each position.
Atoms (fractional coordinates):
Be: 0.8959 0.8959 0.0000  2 Be 2.14, 1 Se 2.25
Be: 0.7698 0.2698 0.5000  2 Be 2.14, 2 Se 2.30
Ba: 0.2305 0.7305 0.5000  5 Be 3.20-3.54, 4 Se 3.41-3.45
Se: 0.6039 0.6039 0.0000  3 Be 2.25-2.30

***

Record 5
VASP calculation (PBE) on an optimized crystal structure of BaBe2Se.

Results
Symmetry: No. 139
Total magnetization, μB/cell: 0.00
E_form (uncorrected), meV per atom: 472.2
Crystal system: tetragonal
N(E_F), states/eV/atom: 0.355

Cell lengths 6.3788, 6.3788, 6.3788 Å; angles 140.04, 140.04, 57.79 degrees
Closest atoms and distances in Å follow each position.
Atoms (fractional coordinates):
Be: 0.0000 0.0000 0.0000  4 Be 3.08
Be: 0.5000 0.5000 0.0000  4 Be 3.08
Ba: 0.7500 0.2500 0.5000  4 Se 3.08
Se: 0.2500 0.7500 0.5000  4 Ba 3.08

***

Record 6
VASP calculation (PBE) on an optimized crystal structure of BaBe4Se.

Results
Symmetry: No. 216
Total magnetization, μB/cell: 0.00
E_form (uncorrected), meV per atom: 673.0
Crystal system: cubic
N(E_F), states/eV/atom: 0.488

Cell lengths 5.3033, 5.3033, 5.3033 Å; angles 60.00, 60.00, 60.00 degrees
Closest atoms and distances in Å follow each position.
Atoms (fractional coordinates):
Ba: 0.0000 0.0000 0.0000  12 Be 3.15, 4 Se 3.25
Be: 0.8307 0.3898 0.3898  3 Be 2.34
Be: 0.3898 0.3898 0.8307  3 Be 2.34
Be: 0.3898 0.8307 0.3898  3 Be 2.34
Be: 0.3898 0.3898 0.3898  3 Be 2.34
Se: 0.7500 0.7500 0.7500  12 Be 3.08, 4 Ba 3.25

***

Repeat the second record exactly.
VASP calculation (PBE) on an optimized crystal structure of BaBe2Se.

Results
Symmetry: No. 123
Total magnetization, μB/cell: 0.00
E_form (uncorrected), meV per atom: 295.0
Crystal system: tetragonal
N(E_F), states/eV/atom: 0.725

Cell lengths 3.4517, 3.4517, 6.9268 Å; angles 90.00, 90.00, 90.00 degrees
Closest atoms and distances in Å follow each position.
Atoms (fractional coordinates):
Be: 0.0000 0.0000 0.0916  1 Be 2.20
Be: 0.0000 0.0000 0.4084  1 Be 2.20
Ba: 0.5000 0.5000 0.7500  8 Be 3.40, 4 Ba 3.45, 2 Se 3.46
Se: 0.5000 0.5000 0.2500  8 Be 2.68

***

> N(E_F) of number 4 (BaBe2Se)?

0.538 states/eV/atom